[1]
Entry from Alexandria: an optimized crystal structure of HfTaAsBr2 (PBE-GGA).

Unit cell a=4.991 b=4.991 c=5.209 alpha=90.00 beta=90.00 gamma=90.00
Space group P4/mmm (No. 123)
Inequivalent atoms, fractional coordinates:
Hf: 0.000 0.000 0.000 [1 per cell]
Ta: 0.500 0.500 0.500 [1 per cell]
As: 0.500 0.500 0.000 [1 per cell]
Br: 0.000 0.500 0.500 [2 per cell]

Energy = -26.53 eV per formula unit
Total magnetic moment = 1.76 μB/cell
ΔE_f (raw) = 0.6539 eV per atom
Relative energy among the computed polymorphs = 0 meV/atom

---

[2]
Entry from Alexandria: an optimized crystal structure of HfTeAsBr2 (PBE-GGA).

Unit cell a=5.373 b=5.373 c=5.679 alpha=90.00 beta=90.00 gamma=90.00
Space group P4/mmm (No. 123)
Inequivalent atoms, fractional coordinates:
Hf: 0.000 0.000 0.000 [1 per cell]
Te: 0.500 0.500 0.500 [1 per cell]
As: 0.500 0.500 0.000 [1 per cell]
Br: 0.000 0.500 0.500 [2 per cell]

Energy = -16.51 eV per formula unit
Total magnetic moment = 1.48 μB/cell
ΔE_f (raw) = 0.9161 eV per atom
Relative energy among the computed polymorphs = 1115 meV/atom

---

[3]
Entry from Alexandria: an optimized crystal structure of HfTeAsBr2 (PBE-GGA).

Unit cell a=5.093 b=5.093 c=5.581 alpha=90.00 beta=90.00 gamma=90.00
Space group P4/mmm (No. 123)
Inequivalent atoms, fractional coordinates:
Hf: 0.000 0.000 0.000 [1 per cell]
Te: 0.500 0.500 0.500 [1 per cell]
As: 0.000 0.000 0.500 [1 per cell]
Br: 0.000 0.500 0.000 [2 per cell]

Energy = -22.09 eV per formula unit
Total magnetic moment = 0.26 μB/cell
ΔE_f (raw) = -0.1989 eV per atom
Relative energy among the computed polymorphs = 0 meV/atom

---

[4]
Entry from Alexandria: an optimized crystal structure of HfTiAs2Br (PBE-GGA).

Unit cell a=5.158 b=5.158 c=5.148 alpha=90.00 beta=90.00 gamma=90.00
Space group P4/mmm (No. 123)
Inequivalent atoms, fractional coordinates:
Hf: 0.000 0.000 0.000 [1 per cell]
Ti: 0.500 0.500 0.500 [1 per cell]
As: 0.000 0.500 0.000 [2 per cell]
Br: 0.000 0.000 0.500 [1 per cell]

Energy = -27.87 eV per formula unit
Total magnetic moment = 1.81 μB/cell
ΔE_f (raw) = 0.1895 eV per atom
Relative energy among the computed polymorphs = 0 meV/atom

---

[5]
Entry from Alexandria: an optimized crystal structure of HfTiAs2Br (PBE-GGA).

Unit cell a=4.942 b=4.942 c=4.761 alpha=90.00 beta=90.00 gamma=90.00
Space group P4/mmm (No. 123)
Inequivalent atoms, fractional coordinates:
Hf: 0.000 0.000 0.000 [1 per cell]
Ti: 0.500 0.500 0.500 [1 per cell]
As: 0.000 0.500 0.500 [2 per cell]
Br: 0.500 0.500 0.000 [1 per cell]

Energy = -27.81 eV per formula unit
Total magnetic moment = 0.42 μB/cell
ΔE_f (raw) = 0.2023 eV per atom
Relative energy among the computed polymorphs = 13 meV/atom

---

[6]
Entry from Alexandria: an optimized crystal structure of HfTlAs2Br (PBE-GGA).

Unit cell a=5.224 b=5.224 c=5.342 alpha=90.00 beta=90.00 gamma=90.00
Space group P4/mmm (No. 123)
Inequivalent atoms, fractional coordinates:
Hf: 0.000 0.000 0.000 [1 per cell]
Tl: 0.500 0.500 0.500 [1 per cell]
As: 0.000 0.500 0.500 [2 per cell]
Br: 0.500 0.500 0.000 [1 per cell]

Energy = -18.25 eV per formula unit
Total magnetic moment = 0.00 μB/cell
ΔE_f (raw) = 1.0088 eV per atom
Relative energy among the computed polymorphs = 1306 meV/atom

---

Look up the relative energy among the computed polymorphs of the first one. 0 meV/atom

---

Copy entry 4 word for word.
Entry from Alexandria: an optimized crystal structure of HfTiAs2Br (PBE-GGA).

Unit cell a=5.158 b=5.158 c=5.148 alpha=90.00 beta=90.00 gamma=90.00
Space group P4/mmm (No. 123)
Inequivalent atoms, fractional coordinates:
Hf: 0.000 0.000 0.000 [1 per cell]
Ti: 0.500 0.500 0.500 [1 per cell]
As: 0.000 0.500 0.000 [2 per cell]
Br: 0.000 0.000 0.500 [1 per cell]

Energy = -27.87 eV per formula unit
Total magnetic moment = 1.81 μB/cell
ΔE_f (raw) = 0.1895 eV per atom
Relative energy among the computed polymorphs = 0 meV/atom

---

What is the formula in the first record? HfTaAsBr2